[1]
Compound: Si5Ir3
Source: the Alexandria database
Functional: GGA-PBE
Structure: optimized geometry

a b c (Å): 6.463 10.498 14.293
angles (deg): 90.00 90.00 96.83
Sites, in units of the cell vectors:
1 Si 0.963 0.827 0.891
2 Si 0.163 0.835 0.057
3 Si 0.456 0.409 0.850
4 Ir 0.397 0.633 0.833
5 Si 0.752 0.891 0.387
6 Si 0.044 0.091 0.350
7 Ir 0.240 0.007 0.165
8 Si 0.668 0.923 0.990
9 Si 0.748 0.609 0.887
10 Si 0.248 0.109 0.613
11 Ir 0.760 0.993 0.835
12 Si 0.337 0.665 0.557
13 Ir 0.816 0.389 0.902
14 Ir 0.170 0.603 0.406
15 Ir 0.670 0.103 0.094
16 Si 0.837 0.165 0.943
17 Si 0.843 0.490 0.063
18 Si 0.343 0.990 0.437
19 Si 0.641 0.567 0.658
20 Si 0.859 0.933 0.158
21 Ir 0.792 0.744 0.748
22 Si 0.527 0.144 0.249
23 Si 0.956 0.909 0.650
24 Ir 0.208 0.256 0.252
25 Si 0.037 0.173 0.109
26 Si 0.861 0.308 0.280
27 Ir 0.316 0.889 0.598
28 Si 0.948 0.205 0.512
29 Ir 0.292 0.244 0.752
30 Si 0.157 0.510 0.937
31 Si 0.832 0.577 0.490
32 Si 0.537 0.673 0.391
33 Si 0.544 0.591 0.150
34 Ir 0.691 0.773 0.544
35 Si 0.552 0.295 0.012
36 Si 0.168 0.423 0.510
37 Ir 0.103 0.867 0.333
38 Si 0.252 0.391 0.113
39 Ir 0.309 0.227 0.456
40 Ir 0.897 0.133 0.667
41 Ir 0.809 0.727 0.044
42 Si 0.141 0.067 0.842
43 Si 0.361 0.808 0.220
44 Si 0.139 0.692 0.720
45 Ir 0.830 0.397 0.594
46 Ir 0.684 0.111 0.402
47 Si 0.332 0.077 0.010
48 Si 0.663 0.335 0.443
49 Si 0.639 0.192 0.780
50 Ir 0.260 0.493 0.665
51 Si 0.473 0.856 0.751
52 Si 0.973 0.356 0.749
53 Si 0.052 0.795 0.488
54 Ir 0.708 0.756 0.248
55 Ir 0.603 0.367 0.167
56 Si 0.448 0.705 0.988
57 Si 0.027 0.644 0.251
58 Si 0.463 0.327 0.609
59 Si 0.359 0.433 0.342
60 Si 0.657 0.010 0.563
61 Ir 0.184 0.611 0.098
62 Ir 0.740 0.507 0.335
63 Ir 0.330 0.897 0.906
64 Ir 0.191 0.273 0.956

Results
- Theoretical density: 9.89 Mg/m³
- Polymorph energy (0 for the lowest one): 0.0 meV/atom
- Crystal system: monoclinic
- Raw formation energy: -622 meV per atom

***

[2]
Compound: SiIr5
Source: the Alexandria database
Functional: GGA-PBE
Structure: optimized geometry

a b c (Å): 4.939 4.939 7.011
angles (deg): 70.47 70.47 32.34
Sites, in units of the cell vectors:
1 Si 0.272 0.272 0.921
2 Ir 0.956 0.956 0.011
3 Ir 0.671 0.671 0.701
4 Ir 0.334 0.334 0.368
5 Ir 0.962 0.962 0.605
6 Ir 0.639 0.639 0.228

Results
- Theoretical density: 19.15 Mg/m³
- Polymorph energy (0 for the lowest one): 35.2 meV/atom
- Crystal system: monoclinic
- Raw formation energy: -110 meV per atom

***

[3]
Compound: SiIr2
Source: the Alexandria database
Functional: GGA-PBE
Structure: optimized geometry

a b c (Å): 5.222 5.222 8.247
angles (deg): 90.00 90.00 120.00
Sites, in units of the cell vectors:
1 Si 0.667 0.333 0.598
2 Ir 0.000 0.000 0.500
3 Ir 0.171 0.829 0.750
4 Ir 0.171 0.343 0.750
5 Ir 0.000 0.000 0.000
6 Ir 0.829 0.171 0.250
7 Si 0.667 0.333 0.902
8 Ir 0.343 0.171 0.250
9 Si 0.333 0.667 0.098
10 Ir 0.829 0.657 0.250
11 Si 0.333 0.667 0.402
12 Ir 0.657 0.829 0.750

Results
- Theoretical density: 14.07 Mg/m³
- Crystal system: hexagonal
- Raw formation energy: 473 meV per atom

***

[4]
Compound: Si3Ir
Source: the Alexandria database
Functional: GGA-PBE
Structure: optimized geometry

a b c (Å): 4.712 4.712 4.712
angles (deg): 90.00 90.00 90.00
Each line ends with the local moment (μB).
Sites, in units of the cell vectors:
1 Si 0.000 0.000 0.500  0.20
2 Si 0.000 0.500 0.000  0.20
3 Si 0.500 0.000 0.000  0.20
4 Ir 0.000 0.000 0.000  0.49

Results
- Theoretical density: 4.39 Mg/m³
- Crystal system: cubic
- Raw formation energy: 786 meV per atom

***

no.,electronic total energy (eV per atom)
1,-7.334
2,-8.398
3,-7.242
4,-5.497